# 1
VASP calculation (PBE-GGA) on La6FeNi2 after structural relaxation.

Lattice parameters (Å, degrees): 6.738 7.368 12.110 90.00 120.65 90.00
Space group P2_1/c (No. 14)
Inequivalent atoms, fractional coordinates:
La  0.092  0.054  0.247
La  0.249  0.684  0.078
La  0.386  0.177  0.068
Fe  0.000  0.000  0.000
Ni  0.324  0.110  0.771

Calculated values
Crystal system   monoclinic
Total magnetization   0.000 μB/atom


# 2
VASP calculation (PBE-GGA) on LaFeNi after structural relaxation.

Lattice parameters (Å, degrees): 4.0549 4.0549 4.2470 90.00 90.00 120.00
Space group P-6m2 (No. 187)
Inequivalent atoms, fractional coordinates:
La  0.0000  0.0000  0.0000
Fe  0.3333  0.6667  0.5000
Ni  0.6667  0.3333  0.5000

Calculated values
Crystal system   hexagonal
Total magnetization   0.796 μB/atom


# 3
VASP calculation (PBE-GGA) on LaFe2Ni after structural relaxation.

Lattice parameters (Å, degrees): 2.9980 2.9980 26.4031 90.00 90.00 120.00
Space group R-3m (No. 166, hexagonal axes)
Inequivalent atoms, fractional coordinates:
La  0.0000  0.0000  0.0000
Fe  0.0000  0.0000  0.2317
Ni  0.0000  0.0000  0.5000

Calculated values
Crystal system   trigonal
Total magnetization   1.539 μB/atom


Fermi-level density of states / states/eV/atom: 1.144, 1.041, 1.328
Energy / eV per atom: -5.6285, -6.4427, -6.2506